(1)
The following is a PBE calculation of an optimized crystal structure of Sm5Y2Tm12, from Alexandria via LeMat-Bulk.

Its density of states at the Fermi level is 27.3 states/eV/f.u. Its energy above the most stable polymorph in this dataset is 0.1053 eV per atom. Its formation energy is 0.130 eV per atom.

The space group is C2/m (No. 12) and the conventional cell measures 12.2050, 6.9996 and 14.2411 Å, with angles of 90.00, 92.37 and 90.00 degrees. Symmetry generates all atoms from Sm at (0.0000, 0.0000, 0.0000), Sm at (0.0666, 0.5000, 0.0957), Sm at (0.2490, 0.0000, 0.5040), Y at (0.0000, 0.2473, 0.5000), Tm at (0.0929, 0.5000, 0.6990), Tm at (0.0946, 0.0000, 0.7113), Tm at (0.1580, 0.2496, 0.2989) and Tm at (0.1951, 0.2640, 0.8952).



(2)
The following is a PBE calculation of an optimized crystal structure of Al2Si2Pb, from Alexandria via LeMat-Bulk.

Its density of states at the Fermi level is 2.1 states/eV/f.u. As for the uncorrected formation energy: 1.4 eV/f.u. Its energy above the most stable polymorph in this dataset is 0.1130 eV per atom.

The space group is I4/mmm (No. 139) and the conventional cell measures 4.2867, 4.2867 and 11.1064 Å, with angles of 90.00, 90.00 and 90.00 degrees. Symmetry generates all atoms from Al at (0.0000, 0.0000, 0.1177), Si at (0.0000, 0.5000, 0.2500) and Pb at (0.0000, 0.0000, 0.5000).



What did the second record say?
The following is a PBE calculation of an optimized crystal structure of Al2Si2Pb, from Alexandria via LeMat-Bulk.

Its density of states at the Fermi level is 2.1 states/eV/f.u. As for the uncorrected formation energy: 1.4 eV/f.u. Its energy above the most stable polymorph in this dataset is 0.1130 eV per atom.

The space group is I4/mmm (No. 139) and the conventional cell measures 4.2867, 4.2867 and 11.1064 Å, with angles of 90.00, 90.00 and 90.00 degrees. Symmetry generates all atoms from Al at (0.0000, 0.0000, 0.1177), Si at (0.0000, 0.5000, 0.2500) and Pb at (0.0000, 0.0000, 0.5000).